No. 1
# ErScIn PBE optimized geometry
# Energy above the most stable polymorph in this dataset = 0.00 eV/f.u.
data_ErScIn
_cell_length_a 5.1626
_cell_length_b 5.1626
_cell_length_c 6.5317
_cell_angle_alpha 90.00
_cell_angle_beta 90.00
_cell_angle_gamma 120.00
_space_group_name_H-M_alt 'P 63/m m c'
_space_group_IT_number 194
_space_group_name_Hall '-P 6c 2c'
loop_
_atom_site_label
_atom_site_fract_x
_atom_site_fract_y
_atom_site_fract_z
Er1 0.0000 0.0000 0.0000
Sc1 0.3333 0.6667 0.2500
In1 0.3333 0.6667 0.7500

No. 2
# HoTmFe2Pb PBE optimized geometry
# Energy = -6.085 eV per atom
data_HoTmFe2Pb
_cell_length_a 3.780
_cell_length_b 3.869
_cell_length_c 14.216
_cell_angle_alpha 90.00
_cell_angle_beta 90.00
_cell_angle_gamma 90.00
_space_group_name_H-M_alt 'A m m 2'
_space_group_IT_number 38
loop_
_space_group_symop_operation_xyz
'x,y,z'
'-x,-y,z'
'-x,y,z'
'x,-y,z'
'x,y+1/2,z+1/2'
'-x,-y+1/2,z+1/2'
'-x,y+1/2,z+1/2'
'x,-y+1/2,z+1/2'
loop_
_atom_site_label
_atom_site_fract_x
_atom_site_fract_y
_atom_site_fract_z
Ho1 0.000 0.000 0.000
Tm1 0.000 0.000 0.277
Fe1 0.500 0.000 0.432
Fe2 0.500 0.000 0.843
Pb1 0.500 0.000 0.639